Record 1
Density functional theory data (PBE) for crystalline HfMg2Zn2 at its relaxed geometry.

a = 7.783 Å, b = 7.783 Å, c = 3.079 Å
α = 90.00°, β = 90.00°, γ = 90.00°
Positions (direct):
Zn (0.373, 0.873, 0.000)
Zn (0.873, 0.627, 0.000)
Zn (0.627, 0.127, 0.000)
Zn (0.127, 0.373, 0.000)
Hf (0.000, 0.000, 0.000)
Hf (0.500, 0.500, 0.000)
Mg (0.171, 0.671, 0.500)
Mg (0.671, 0.829, 0.500)
Mg (0.829, 0.329, 0.500)
Mg (0.329, 0.171, 0.500)

Values from the calculation:
Energy = -3.140 eV per atom
Calculated volume = 186.5 Å³/cell
Energy above the lowest structure with this stoichiometry = 0 meV per atom
Formation enthalpy at 0 K = -2 meV/atom

***

Record 2
Density functional theory data (PBE) for crystalline HfMg2Zn3 at its relaxed geometry.

a = 3.090 Å, b = 3.090 Å, c = 11.288 Å
α = 90.00°, β = 90.00°, γ = 90.00°
Positions (direct):
Hf (0.500, 0.500, 0.500)
Mg (0.500, 0.500, 0.835)
Mg (0.500, 0.500, 0.165)
Zn (0.000, 0.000, 0.000)
Zn (0.000, 0.000, 0.668)
Zn (0.000, 0.000, 0.332)

Values from the calculation:
Energy = -2.952 eV per atom
Calculated volume = 107.8 Å³/cell
Formation enthalpy at 0 K = -124 meV/atom

***

Record 3
Density functional theory data (PBE) for crystalline Hf2MgZn2 at its relaxed geometry.

a = 3.341 Å, b = 3.341 Å, c = 9.426 Å
α = 79.79°, β = 79.79°, γ = 90.00°
Positions (direct):
Zn (0.750, 0.250, 0.500)
Zn (0.250, 0.750, 0.500)
Hf (0.385, 0.385, 0.229)
Hf (0.615, 0.615, 0.771)
Mg (0.000, 0.000, 0.000)

Values from the calculation:
Energy = -4.467 eV per atom
Calculated volume = 101.9 Å³/cell
Energy above the lowest structure with this stoichiometry = 439 meV per atom
Formation enthalpy at 0 K = 343 meV/atom

***

Record 4
Density functional theory data (PBE) for crystalline Hf2Mg2Zn at its relaxed geometry.

a = 6.625 Å, b = 6.625 Å, c = 4.656 Å
α = 90.00°, β = 90.00°, γ = 90.00°
Positions (direct):
Zn (0.000, 0.000, 0.000)
Zn (0.500, 0.500, 0.000)
Hf (0.165, 0.665, 0.500)
Hf (0.665, 0.835, 0.500)
Hf (0.835, 0.335, 0.500)
Hf (0.335, 0.165, 0.500)
Mg (0.358, 0.858, 0.000)
Mg (0.858, 0.642, 0.000)
Mg (0.642, 0.142, 0.000)
Mg (0.142, 0.358, 0.000)

Values from the calculation:
Energy = -4.652 eV per atom
Calculated volume = 204.4 Å³/cell
Formation enthalpy at 0 K = 222 meV/atom

***

Look up the calculated volume of the first one. 186.5 Å³/cell